Record 1
# Sm6ZnFe2 | Alexandria via LeMat-Bulk | PBE | optimized geometry
# DFT formation energy: -0.032 eV per atom
# calculated volume: 236 Å³/f.u.
# size of the total moment: 2.05 μB/f.u.
data_Sm6ZnFe2
_symmetry_space_group_name_H-M 'I m m m'
_symmetry_Int_Tables_number 71
_symmetry_space_group_name_Hall '-I 2 2'
_cell_length_a 9.600
_cell_length_b 9.728
_cell_length_c 10.101
_cell_angle_alpha 90.00
_cell_angle_beta 90.00
_cell_angle_gamma 90.00
loop_
_atom_site_label
_atom_site_type_symbol
_atom_site_fract_x
_atom_site_fract_y
_atom_site_fract_z
_atom_site_occupancy
Sm1 Sm 0.000 0.205 0.227 1
Sm2 Sm 0.204 0.500 0.185 1
Sm3 Sm 0.215 0.316 0.500 1
Zn1 Zn 0.000 0.000 0.000 1
Zn2 Zn 0.000 0.000 0.500 1
Fe1 Fe 0.000 0.384 0.000 1
Fe2 Fe 0.000 0.500 0.392 1

---

Record 2
# Pm3Bi2N | Alexandria via LeMat-Bulk | PBE | optimized geometry
# calculated volume: 175 Å³/f.u.
# energy relative to the elements, uncorrected: -921.4 meV/atom
# size of the total moment: 0.00 μB/f.u.
data_Pm3Bi2N
_symmetry_space_group_name_H-M 'C 1 2/c 1'
_symmetry_Int_Tables_number 15
_symmetry_space_group_name_Hall '-C 2yc'
_cell_length_a 13.608
_cell_length_b 6.554
_cell_length_c 8.051
_cell_angle_alpha 90.00
_cell_angle_beta 102.61
_cell_angle_gamma 90.00
loop_
_atom_site_label
_atom_site_type_symbol
_atom_site_fract_x
_atom_site_fract_y
_atom_site_fract_z
_atom_site_occupancy
Pm1 Pm 0.000 0.103 0.250 1
Pm2 Pm 0.131 0.431 0.647 1
Bi1 Bi 0.173 0.062 0.043 1
N1 N 0.000 0.447 0.250 1

---

Record 3
# Y3Ni5S12 | Alexandria via LeMat-Bulk | PBE | optimized geometry
# calculated volume: 376 Å³/f.u.
# energy relative to the elements, uncorrected: -831.7 meV/atom
# size of the total moment: 0.00 μB/f.u.
data_Y3Ni5S12
_symmetry_space_group_name_H-M 'I a -3 d'
_symmetry_Int_Tables_number 230
_symmetry_space_group_name_Hall '-I 4bd 2c 3'
_cell_length_a 14.440
_cell_length_b 14.440
_cell_length_c 14.440
_cell_angle_alpha 90.00
_cell_angle_beta 90.00
_cell_angle_gamma 90.00
loop_
_atom_site_label
_atom_site_type_symbol
_atom_site_fract_x
_atom_site_fract_y
_atom_site_fract_z
_atom_site_occupancy
Y1 Y 0.000 0.250 0.125 1
Ni1 Ni 0.000 0.000 0.000 1
Ni2 Ni 0.000 0.250 0.375 1
S1 S 0.030 0.054 0.646 1

---

Record 4
# Pm2SbAs3Pt4 | Alexandria via LeMat-Bulk | PBE | optimized geometry
# calculated volume: 205 Å³/f.u.
# energy relative to the elements, uncorrected: -817.7 meV/atom
# size of the total moment: 0.00 μB/f.u.
data_Pm2SbAs3Pt4
_symmetry_space_group_name_H-M 'P -4 m 2'
_symmetry_Int_Tables_number 115
_symmetry_space_group_name_Hall 'P -4 -2'
_cell_length_a 4.440
_cell_length_b 4.440
_cell_length_c 10.421
_cell_angle_alpha 90.00
_cell_angle_beta 90.00
_cell_angle_gamma 90.00
loop_
_atom_site_label
_atom_site_type_symbol
_atom_site_fract_x
_atom_site_fract_y
_atom_site_fract_z
_atom_site_occupancy
Pm1 Pm 0.000 0.500 0.231 1
Sb1 Sb 0.000 0.000 0.500 1
As1 As 0.000 0.500 0.873 1
As2 As 0.500 0.500 0.500 1
Pt1 Pt 0.000 0.000 0.000 1
Pt2 Pt 0.000 0.500 0.640 1
Pt3 Pt 0.500 0.500 0.000 1

---

Record 5
# MgCdInHg | Alexandria via LeMat-Bulk | PBE | optimized geometry
# excess energy over the best structure of this formula in the dataset: 0 meV/atom
# DFT formation energy: -0.056 eV per atom
# calculated volume: 93 Å³/f.u.
# size of the total moment: 0.00 μB/f.u.
data_MgCdInHg
_symmetry_space_group_name_H-M 'C 1 m 1'
_symmetry_Int_Tables_number 8
_symmetry_space_group_name_Hall 'C -2y'
_cell_length_a 10.062
_cell_length_b 4.537
_cell_length_c 4.535
_cell_angle_alpha 90.00
_cell_angle_beta 116.57
_cell_angle_gamma 90.00
loop_
_atom_site_label
_atom_site_type_symbol
_atom_site_fract_x
_atom_site_fract_y
_atom_site_fract_z
_atom_site_occupancy
Mg1 Mg 0.000 0.000 0.000 1
Cd1 Cd 0.250 0.000 0.751 1
In1 In 0.000 0.500 0.501 1
Hg1 Hg 0.250 0.500 0.250 1

---

Record 6
# HoScPb2 | Alexandria via LeMat-Bulk | PBE | optimized geometry
# DFT formation energy: -0.348 eV per atom
# calculated volume: 105 Å³/f.u.
# size of the total moment: 0.83 μB/f.u.
data_HoScPb2
_symmetry_space_group_name_H-M 'P 4/m m m'
_symmetry_Int_Tables_number 123
_symmetry_space_group_name_Hall '-P 4 2'
_cell_length_a 4.905
_cell_length_b 4.905
_cell_length_c 4.377
_cell_angle_alpha 90.00
_cell_angle_beta 90.00
_cell_angle_gamma 90.00
loop_
_atom_site_label
_atom_site_type_symbol
_atom_site_fract_x
_atom_site_fract_y
_atom_site_fract_z
_atom_site_occupancy
Ho1 Ho 0.000 0.000 0.000 1
Sc1 Sc 0.500 0.500 0.000 1
Pb1 Pb 0.000 0.500 0.500 1

---

Record 7
# KSc2CrCd | Alexandria via LeMat-Bulk | PBE | optimized geometry
# DFT formation energy: 1.657 eV per atom
# calculated volume: 134 Å³/f.u.
# size of the total moment: 3.88 μB/f.u.
data_KSc2CrCd
_symmetry_space_group_name_H-M 'P 4/m m m'
_symmetry_Int_Tables_number 123
_symmetry_space_group_name_Hall '-P 4 2'
_cell_length_a 5.013
_cell_length_b 5.013
_cell_length_c 5.350
_cell_angle_alpha 90.00
_cell_angle_beta 90.00
_cell_angle_gamma 90.00
loop_
_atom_site_label
_atom_site_type_symbol
_atom_site_fract_x
_atom_site_fract_y
_atom_site_fract_z
_atom_site_occupancy
K1 K 0.000 0.000 0.000 1
Sc1 Sc 0.000 0.500 0.000 1
Cr1 Cr 0.500 0.500 0.500 1
Cd1 Cd 0.000 0.000 0.500 1

---

Record 8
# LaAlHg | Alexandria via LeMat-Bulk | PBE | optimized geometry
# DFT formation energy: -0.413 eV per atom
# calculated volume: 81 Å³/f.u.
# size of the total moment: 0.00 μB/f.u.
data_LaAlHg
_symmetry_space_group_name_H-M 'P 1'
_symmetry_Int_Tables_number 1
_symmetry_space_group_name_Hall 'P 1'
_cell_length_a 4.421
_cell_length_b 4.448
_cell_length_c 8.800
_cell_angle_alpha 104.59
_cell_angle_beta 104.50
_cell_angle_gamma 90.03
loop_
_atom_site_label
_atom_site_type_symbol
_atom_site_fract_x
_atom_site_fract_y
_atom_site_fract_z
_atom_site_occupancy
La1 La 0.000 0.000 0.000 1
La2 La 0.251 0.750 0.500 1
Al1 Al 0.422 0.423 0.844 1
Al2 Al 0.578 0.579 0.157 1
Hg1 Hg 0.663 0.163 0.326 1
Hg2 Hg 0.837 0.336 0.674 1